1.
Below is Dy5Mg6Sc after structural relaxation, with properties calculated at the GGA-PBE level.

Summary:
Energy relative to the elements ... -1.6 kcal/mol of atoms
Total magnetization ... 0.00 μB per formula unit
N(E_F) ... 1.4246 states/eV per atom

abc: 5.3167 7.4971 8.4120
angles: 90.00 108.34 90.00
Fractional coordinates of all 12 atoms:
Dy  0.0000  0.0000  0.0000
Dy  0.3303  0.0000  0.6616
Dy  0.3329  0.5000  0.6669
Dy  0.6671  0.5000  0.3331
Dy  0.6697  0.0000  0.3384
Mg  0.1636  0.2559  0.3254
Mg  0.1636  0.7441  0.3254
Mg  0.5000  0.2576  0.0000
Mg  0.5000  0.7423  0.0000
Mg  0.8364  0.2559  0.6746
Mg  0.8364  0.7441  0.6746
Sc  0.0000  0.5000  0.0000

2.
Below is Dy2Mg6Sc after structural relaxation, with properties calculated at the GGA-PBE level.

Summary:
Energy relative to the elements ... -1.1 kcal/mol of atoms
Total magnetization ... 0.00 μB per formula unit
N(E_F) ... 0.6656 states/eV per atom

abc: 8.9866 8.9866 3.2252
angles: 90.12 90.12 60.06
Fractional coordinates of all 9 atoms:
Dy  0.1664  0.1664  0.9998
Dy  0.8336  0.8336  0.0002
Mg  0.1720  0.4998  0.5017
Mg  0.1723  0.8277  0.5000
Mg  0.4998  0.1720  0.5017
Mg  0.5002  0.8280  0.4983
Mg  0.8277  0.1723  0.5000
Mg  0.8280  0.5002  0.4983
Sc  0.5000  0.5000  0.0000

3.
Below is Dy6MgSc after structural relaxation, with properties calculated at the GGA-PBE level.

Summary:
Energy relative to the elements ... 0.6 kcal/mol of atoms
Relative energy among the computed polymorphs ... 0.00 eV per formula unit
Total magnetization ... 0.00 μB per formula unit
N(E_F) ... 1.5942 states/eV per atom

abc: 4.8934 4.8934 9.8685
angles: 90.00 90.00 90.00
Fractional coordinates of all 8 atoms:
Dy  0.0000  0.0000  0.0000
Dy  0.0000  0.0000  0.5000
Dy  0.0000  0.5000  0.2477
Dy  0.0000  0.5000  0.7523
Dy  0.5000  0.0000  0.2477
Dy  0.5000  0.0000  0.7523
Mg  0.5000  0.5000  0.5000
Sc  0.5000  0.5000  0.0000

4.
Below is DyMg2Sc after structural relaxation, with properties calculated at the GGA-PBE level.

Summary:
Energy relative to the elements ... -1.3 kcal/mol of atoms
Total magnetization ... 0.00 μB per formula unit
N(E_F) ... 1.2976 states/eV per atom

abc: 7.3868 7.3868 7.3868
angles: 90.00 90.00 90.00
Fractional coordinates of all 16 atoms:
Dy  0.0000  0.0000  0.0000
Dy  0.0000  0.5000  0.5000
Dy  0.5000  0.0000  0.5000
Dy  0.5000  0.5000  0.0000
Mg  0.2500  0.2500  0.2500
Mg  0.2500  0.2500  0.7500
Mg  0.2500  0.7500  0.2500
Mg  0.2500  0.7500  0.7500
Mg  0.7500  0.2500  0.2500
Mg  0.7500  0.2500  0.7500
Mg  0.7500  0.7500  0.2500
Mg  0.7500  0.7500  0.7500
Sc  0.0000  0.0000  0.5000
Sc  0.0000  0.5000  0.0000
Sc  0.5000  0.0000  0.0000
Sc  0.5000  0.5000  0.5000

5.
Below is Dy3Mg6Sc after structural relaxation, with properties calculated at the GGA-PBE level.

Summary:
Energy relative to the elements ... -1.2 kcal/mol of atoms
Total magnetization ... 0.16 μB per formula unit
N(E_F) ... 1.0276 states/eV per atom

abc: 9.1743 5.2038 11.1086
angles: 90.00 105.23 90.00
Fractional coordinates of all 20 atoms:
Dy  0.0424  0.2500  0.3987
Dy  0.1487  0.7500  0.2084
Dy  0.2505  0.2500  0.0084
Dy  0.7495  0.7500  0.9916
Dy  0.8513  0.2500  0.7916
Dy  0.9576  0.7500  0.6013
Mg  0.0598  0.7500  0.9008
Mg  0.1703  0.2500  0.7065
Mg  0.2689  0.7500  0.5131
Mg  0.3547  0.7500  0.8078
Mg  0.3655  0.2500  0.3108
Mg  0.4563  0.7500  0.1081
Mg  0.5437  0.2500  0.8919
Mg  0.6345  0.7500  0.6892
Mg  0.6453  0.2500  0.1922
Mg  0.7311  0.2500  0.4869
Mg  0.8297  0.7500  0.2935
Mg  0.9402  0.2500  0.0992
Sc  0.4520  0.2500  0.5978
Sc  0.5480  0.7500  0.4022

6.
Below is Dy6MgSc2 after structural relaxation, with properties calculated at the GGA-PBE level.

Summary:
Energy relative to the elements ... 1.0 kcal/mol of atoms
Relative energy among the computed polymorphs ... 0.20 eV per formula unit
Total magnetization ... 0.00 μB per formula unit
N(E_F) ... 1.5877 states/eV per atom

abc: 10.2910 10.2910 4.9366
angles: 90.00 90.00 90.00
Fractional coordinates of all 18 atoms:
Dy  0.0025  0.3314  0.0000
Dy  0.1603  0.8397  0.5000
Dy  0.1686  0.5025  0.5000
Dy  0.3314  0.0025  0.0000
Dy  0.3397  0.3397  0.0000
Dy  0.4975  0.8314  0.5000
Dy  0.5025  0.1686  0.5000
Dy  0.6603  0.6603  0.0000
Dy  0.6686  0.9975  0.0000
Dy  0.8314  0.4975  0.5000
Dy  0.8397  0.1603  0.5000
Dy  0.9975  0.6686  0.0000
Mg  0.0000  0.0000  0.0000
Mg  0.5000  0.5000  0.5000
Sc  0.1725  0.1725  0.5000
Sc  0.3275  0.6725  0.0000
Sc  0.6725  0.3275  0.0000
Sc  0.8275  0.8275  0.5000

7.
Below is Dy4Mg7Sc after structural relaxation, with properties calculated at the GGA-PBE level.

Summary:
Energy relative to the elements ... 3.5 kcal/mol of atoms
Relative energy among the computed polymorphs ... 2.07 eV per formula unit
Total magnetization ... 0.00 μB per formula unit
N(E_F) ... 1.1378 states/eV per atom

abc: 6.2082 6.2082 11.5370
angles: 111.23 111.23 53.33
Fractional coordinates of all 12 atoms:
Dy  0.0537  0.0537  0.3456
Dy  0.3453  0.3453  0.2175
Dy  0.6547  0.6547  0.7825
Dy  0.9463  0.9463  0.6544
Mg  0.0000  0.0000  0.0000
Mg  0.2077  0.2077  0.9236
Mg  0.2779  0.2779  0.6965
Mg  0.3671  0.3671  0.4914
Mg  0.6329  0.6329  0.5086
Mg  0.7221  0.7221  0.3035
Mg  0.7923  0.7923  0.0764
Sc  0.5000  0.5000  0.0000

8.
Below is DyMg5Sc4 after structural relaxation, with properties calculated at the GGA-PBE level.

Summary:
Energy relative to the elements ... -1.0 kcal/mol of atoms
Total magnetization ... 0.00 μB per formula unit
N(E_F) ... 1.4187 states/eV per atom

abc: 3.6242 3.6242 18.2987
angles: 90.00 90.00 90.00
Fractional coordinates of all 10 atoms:
Dy  0.0000  0.0000  0.0000
Mg  0.5000  0.5000  0.1114
Mg  0.5000  0.5000  0.3051
Mg  0.5000  0.5000  0.5000
Mg  0.5000  0.5000  0.6949
Mg  0.5000  0.5000  0.8886
Sc  0.0000  0.0000  0.2076
Sc  0.0000  0.0000  0.4028
Sc  0.0000  0.0000  0.5972
Sc  0.0000  0.0000  0.7924

9.
Below is DyMg7Sc2 after structural relaxation, with properties calculated at the GGA-PBE level.

Summary:
Energy relative to the elements ... 6.0 kcal/mol of atoms
Total magnetization ... 1.17 μB per formula unit
N(E_F) ... 0.9735 states/eV per atom

abc: 11.3626 11.3626 3.2629
angles: 90.00 90.00 141.56
Fractional coordinates of all 10 atoms:
Dy  0.0000  0.0000  0.0000
Mg  0.0584  0.3162  0.5000
Mg  0.3162  0.0584  0.5000
Mg  0.3857  0.6143  0.0000
Mg  0.5000  0.5000  0.5000
Mg  0.6143  0.3857  0.0000
Mg  0.6838  0.9416  0.5000
Mg  0.9416  0.6838  0.5000
Sc  0.2618  0.7382  0.5000
Sc  0.7382  0.2618  0.5000

10.
Below is Dy14MgSc after structural relaxation, with properties calculated at the GGA-PBE level.

Summary:
Energy relative to the elements ... 1.1 kcal/mol of atoms
Total magnetization ... 0.00 μB per formula unit
N(E_F) ... 1.4966 states/eV per atom

abc: 10.8337 6.8309 6.8309
angles: 76.08 90.00 90.00
Fractional coordinates of all 16 atoms:
Dy  0.0000  0.0000  0.0000
Dy  0.0000  0.4408  0.4408
Dy  0.0000  0.5238  0.9263
Dy  0.0000  0.9263  0.5238
Dy  0.2311  0.2232  0.2232
Dy  0.2556  0.2932  0.7161
Dy  0.2556  0.7161  0.2932
Dy  0.2763  0.7898  0.7898
Dy  0.5000  0.0740  0.4930
Dy  0.5000  0.4930  0.0740
Dy  0.7237  0.7898  0.7898
Dy  0.7444  0.2932  0.7161
Dy  0.7444  0.7161  0.2932
Dy  0.7689  0.2232  0.2232
Mg  0.5000  0.5607  0.5607
Sc  0.5000  0.0122  0.0122